The following is a PBE-GGA calculation of a relaxed structure of Al2CrAg, from Alexandria.

Unit cell a=6.362 b=6.362 c=6.362 alpha=90.00 beta=90.00 gamma=90.00
Space group F-43m (No. 216)
One atom of each set of equivalent atoms:
Al1 0.000 0.000 0.000 x4
Al2 0.250 0.250 0.250 x4
Cr1 0.000 0.000 0.500 x4
Ag1 0.250 0.250 0.750 x4

Results
Its total moment is 0.903 μB/atom. The crystal system is cubic. Its formation enthalpy at 0 K is 0.15 eV per atom. The calculation puts the total energy at -4.837 eV/atom. The calculation puts the polymorph energy (0 for the lowest one) at 213 meV per atom.